VPdN2O | GGA+U | relaxed

POSCAR file:
```
VPdN2O
1.0
-1.235 -3.257 1.657
2.537 -2.023 -2.086
2.689 0.431 2.851
N O Pd V
2 1 1 1
direct
0.000 0.500 0.000
0.500 0.000 0.000
0.000 0.000 0.500
0.000 0.000 0.000
0.500 0.500 0.500
```

Values from the calculation:
E = -5.32 eV per atom
Space group = P4/mmm (123)